1.
An optimized crystal structure of CsBeCr2Ga. Source: Alexandria, functional PBE.

Summary:
formation energy = 242 kJ/mol of atoms
SG = No. 123
calculated density = 2.46 g cm⁻³

Lattice parameters (Å, degrees): 5.929 6.061 5.929 90.00 90.00 90.00
Last column: magnetic moment on the atom in μB.
Positions (direct):
Cr: 0.500 0.000 0.000  4.40
Cr: 0.000 0.000 0.500  4.29
Be: 0.500 0.500 0.500  0.00
Cs: 0.000 0.000 0.000  0.14
Ga: 0.000 0.500 0.000  -0.13

2.
An optimized crystal structure of Cs2BeCrI6. Source: Alexandria, functional PBE.

Summary:
SG = No. 139
ΔE_f (raw) = -0.7797 eV per atom
calculated density = 4.12 g cm⁻³

Lattice parameters (Å, degrees): 8.791 8.791 8.413 58.50 58.50 90.00
Last column: magnetic moment on the atom in μB.
Positions (direct):
I: 0.304 0.304 0.393  0.00
I: 0.220 0.220 0.000  -0.03
I: 0.220 0.780 0.000  -0.03
I: 0.780 0.220 0.000  -0.03
I: 0.696 0.696 0.607  0.00
I: 0.780 0.780 0.000  -0.03
Cr: 0.000 0.000 0.000  3.66
Be: 0.500 0.500 0.000  0.02
Cs: 0.750 0.250 0.500  0.00
Cs: 0.250 0.750 0.500  0.00

3.
An optimized crystal structure of CsBe2CrI8. Source: Alexandria, functional PBE.

Summary:
SG = No. 148
ΔE_f (raw) = -0.6166 eV per atom
calculated density = 4.25 g cm⁻³

Lattice parameters (Å, degrees): 6.952 6.952 12.059 73.25 73.25 60.00
Last column: magnetic moment on the atom in μB.
Positions (direct):
Cr: 0.000 0.000 0.000  3.03
Cs: 0.500 0.500 0.500  0.00
I: 0.630 0.271 0.144  -0.05
I: 0.271 0.955 0.144  -0.05
I: 0.805 0.805 0.585  -0.02
I: 0.045 0.370 0.856  -0.05
I: 0.955 0.630 0.144  -0.05
I: 0.370 0.729 0.856  -0.05
I: 0.729 0.045 0.856  -0.05
I: 0.195 0.195 0.415  -0.02
Be: 0.735 0.735 0.794  0.01
Be: 0.265 0.265 0.206  0.01

These records have DFT total energy values of -14.3 -32.2 -37.7 eV for the cell shown, in the order they appear.